# 1
Below is crystalline Rb2Li3PtF12 at its relaxed geometry, with properties calculated at the PBE-GGA level.

The space group is R-3m (No. 166, hexagonal axes) and the conventional cell measures 7.0354, 7.0354 and 19.6365 Å, with angles of 90.00, 90.00 and 120.00 degrees. The inequivalent atoms are Rb at (0.0000, 0.0000, 0.1037), Li at (0.0000, 0.5000, 0.0000), Pt at (0.0000, 0.0000, 0.5000), F at (0.0670, 0.5335, 0.1127) and F at (0.0670, 0.5335, 0.3582).

The calculation puts the calculated total energy at -3.99 eV per atom. The calculation puts the size of the total moment at 3.111 μB/f.u. As for the uncorrected formation energy: -1.985 eV per atom. The mass density comes out at 3.6 g cm⁻³.

=====

# 2
Below is crystalline Rb2LiPtF6 at its relaxed geometry, with properties calculated at the PBE-GGA level.

The space group is P-3m1 (No. 164) and the conventional cell measures 6.0526, 6.0526 and 5.3480 Å, with angles of 90.00, 90.00 and 120.00 degrees. The inequivalent atoms are Rb at (0.3333, 0.6667, 0.2285), Li at (0.0000, 0.0000, 0.0000), Pt at (0.0000, 0.0000, 0.5000) and F at (0.1519, 0.3039, 0.7541).

The calculation puts the calculated total energy at -4.29 eV per atom. The calculation puts the size of the total moment at 1.000 μB/f.u. As for the uncorrected formation energy: -2.177 eV per atom. The mass density comes out at 4.8 g cm⁻³.

=====

# 3
Below is crystalline Rb2LiPtF6 at its relaxed geometry, with properties calculated at the PBE-GGA level.

The space group is I4/mmm (No. 139) and the conventional cell measures 6.025, 6.025 and 8.455 Å, with angles of 90.00, 90.00 and 90.00 degrees. The inequivalent atoms are Rb at (0.000, 0.500, 0.250), Li at (0.000, 0.000, 0.000), Pt at (0.000, 0.000, 0.500), F at (0.000, 0.000, 0.264) and F at (0.246, 0.246, 0.000).

The calculation puts the calculated total energy at -4.32 eV per atom. The calculation puts the size of the total moment at 1.000 μB/f.u. As for the uncorrected formation energy: -2.209 eV per atom. The mass density comes out at 5.3 g cm⁻³.